(1)
The following is a PBE calculation of Cs2KRb6Br after structural relaxation, from the Alexandria database.

Calculated values
crystal system = monoclinic

Cell lengths 10.919, 10.919, 10.932 Å; angles 120.39, 120.39, 89.71 degrees
Sites, in units of the cell vectors:
Rb (0.770, 0.771, 0.545)
Br (0.000, 0.000, 0.999)
Rb (0.228, 0.228, 0.453)
Cs (0.247, 0.752, 0.500)
Rb (0.230, 0.230, 0.005)
Rb (0.772, 0.773, 0.997)
K (0.499, 0.500, 0.998)
Rb (0.774, 0.228, 0.000)
Cs (0.752, 0.248, 0.500)
Rb (0.227, 0.774, 0.000)

=====

(2)
The following is a PBE calculation of CsK2RbBr after structural relaxation, from the Alexandria database.

Calculated values
polymorph energy (0 for the lowest one) = 30 meV per atom
crystal system = tetragonal

Cell lengths 6.942, 6.942, 7.181 Å; angles 90.00, 90.00, 90.00 degrees
Sites, in units of the cell vectors:
K (0.000, 0.500, 0.000)
Br (0.000, 0.000, 0.000)
Rb (0.000, 0.000, 0.500)
Cs (0.500, 0.500, 0.500)
K (0.500, 0.000, 0.000)

=====

(3)
The following is a PBE calculation of CsKRbBr3 after structural relaxation, from the Alexandria database.

Calculated values
crystal system = monoclinic

Cell lengths 4.902, 8.533, 12.981 Å; angles 102.12, 90.00, 90.00 degrees
Sites, in units of the cell vectors:
Br (0.750, 0.047, 0.164)
Br (0.750, 0.556, 0.166)
Rb (0.750, 0.235, 0.950)
Br (0.250, 0.759, 0.494)
Cs (0.750, 0.649, 0.692)
K (0.750, 0.869, 0.361)
Br (0.750, 0.241, 0.506)
Cs (0.250, 0.351, 0.308)
Rb (0.250, 0.765, 0.050)
Br (0.250, 0.444, 0.834)
K (0.250, 0.131, 0.639)
Br (0.250, 0.953, 0.836)

=====

(4)
The following is a PBE calculation of CsK2RbBr after structural relaxation, from the Alexandria database.

Calculated values
polymorph energy (0 for the lowest one) = 0 meV per atom
crystal system = tetragonal

Cell lengths 6.857, 6.857, 7.351 Å; angles 90.00, 90.00, 90.00 degrees
Sites, in units of the cell vectors:
K (0.500, 0.000, 0.000)
K (0.000, 0.500, 0.000)
Rb (0.500, 0.500, 0.500)
Cs (0.000, 0.000, 0.500)
Br (0.000, 0.000, 0.000)

=====

(5)
The following is a PBE calculation of Cs2KReBr8 after structural relaxation, from the Alexandria database.

Calculated values
crystal system = triclinic

Cell lengths 6.374, 8.025, 10.672 Å; angles 89.92, 90.08, 105.99 degrees
Last column: magnetic moment on the atom in μB.
Sites, in units of the cell vectors:
Br (0.389, 0.169, 0.001)  0.01
Br (0.923, 0.196, 0.831)  0.04
Cs (0.498, 0.501, 0.246)  0.00
Br (0.611, 0.831, 0.999)  0.01
Br (0.515, 0.228, 0.499)  0.14
Br (0.077, 0.804, 0.169)  0.04
Br (0.485, 0.772, 0.501)  0.14
Br (0.078, 0.805, 0.831)  0.04
K (0.000, 0.000, 0.500)  0.00
Cs (0.502, 0.499, 0.754)  0.00
Br (0.922, 0.195, 0.169)  0.04
Re (0.000, 0.000, 0.000)  1.78

=====

(6)
The following is a PBE calculation of Cs2KRuBr6 after structural relaxation, from the Alexandria database.

Calculated values
crystal system = cubic

Cell lengths 8.056, 8.056, 8.056 Å; angles 60.00, 60.00, 90.00 degrees
Last column: magnetic moment on the atom in μB.
Sites, in units of the cell vectors:
Cs (0.250, 0.750, 0.500)  0.00
K (0.500, 0.500, 0.000)  0.00
Br (0.222, 0.222, 0.000)  0.02
Br (0.222, 0.778, 0.000)  0.02
Br (0.778, 0.778, 0.445)  0.02
Br (0.778, 0.778, 0.000)  0.02
Cs (0.750, 0.250, 0.500)  0.00
Ru (0.000, 0.000, 0.000)  0.78
Br (0.222, 0.222, 0.555)  0.02
Br (0.778, 0.222, 0.000)  0.02

=====

Record-wise formation energy (no corrections) values, in eV per atom: -0.27; -0.60; -1.74; -0.63; -0.96; -1.15
Record-wise density of states at the Fermi level values, in states/eV/atom: 0.96; 0.60; 0.00; 0.60; 0.75; 1.71